A.
A plane-wave DFT calculation with PBE was carried out for crystalline AlNF2 at its relaxed geometry.

## Properties
The space-group type is R-3m.

Lattice parameters (Å, degrees): 8.5445 8.5445 8.5445 21.94 21.94 21.94
Element x y z (fractional)
F  0.9339  0.9339  0.9339
F  0.0661  0.0661  0.0661
Al  0.0000  0.0000  0.0000
N  0.5000  0.5000  0.5000

B.
A plane-wave DFT calculation with PBE was carried out for crystalline AlNF2 at its relaxed geometry.

## Properties
The space-group type is I4_1/amd.

Lattice parameters (Å, degrees): 5.2779 5.2779 5.7903 62.89 62.89 90.00
Element x y z (fractional)
Al  0.7500  0.2500  0.5000
F  0.8748  0.1250  0.2500
F  0.8750  0.1248  0.7500
Al  0.0000  0.0000  0.0000
N  0.5000  0.5000  0.0000
N  0.2500  0.7500  0.5000
F  0.3750  0.1252  0.7500
F  0.8752  0.6250  0.2500

C.
A plane-wave DFT calculation with PBE was carried out for crystalline AlNF2 at its relaxed geometry.

## Properties
The space-group type is Fm-3m.

Lattice parameters (Å, degrees): 3.8122 3.8122 3.8122 60.00 60.00 60.00
Element x y z (fractional)
Al  0.5000  0.5000  0.5000
F  0.2500  0.2500  0.2500
F  0.7500  0.7500  0.7500
N  0.0000  0.0000  0.0000

D.
A plane-wave DFT calculation with PBE was carried out for crystalline AlNF2 at its relaxed geometry.

## Properties
The space-group type is R-3m.

Lattice parameters (Å, degrees): 7.5716 7.5716 7.5716 24.95 24.95 24.95
Element x y z (fractional)
N  0.0000  0.0000  0.0000
F  0.1285  0.1285  0.1285
F  0.8715  0.8715  0.8715
Al  0.5000  0.5000  0.5000

Most favorable structure: B. The second most favorable one is 391 meV/atom above it.

A.
A plane-wave DFT calculation with PBE was carried out for crystalline AlNF3 at its relaxed geometry.

## Properties
The space-group type is Pm-3m.

Lattice parameters (Å, degrees): 3.9452 3.9452 3.9452 90.00 90.00 90.00
Element x y z (fractional)
F  0.0000  0.5000  0.0000
N  0.0000  0.0000  0.0000
F  0.0000  0.0000  0.5000
Al  0.5000  0.5000  0.5000
F  0.5000  0.0000  0.0000

B.
A plane-wave DFT calculation with PBE was carried out for crystalline AlNF3 at its relaxed geometry.

## Properties
The space-group type is Pm-3m.

Lattice parameters (Å, degrees): 3.7362 3.7362 3.7362 90.00 90.00 90.00
Element x y z (fractional)
F  0.0000  0.5000  0.0000
F  0.0000  0.0000  0.5000
N  0.5000  0.5000  0.5000
Al  0.0000  0.0000  0.0000
F  0.5000  0.0000  0.0000

Most favorable structure: B. The second most favorable one is 1742 meV/atom above it.